A plane-wave DFT calculation with PBEsol was carried out for an optimized crystal structure of TiZnPt2.

Lattice parameters (Å, degrees): 4.363 4.363 4.363 60.00 60.00 60.00
Fractional positions:
Zn  0.500  0.500  0.500
Pt  0.250  0.250  0.250
Pt  0.750  0.750  0.750
Ti  0.000  0.000  0.000

Summary:
The space group is Fm-3m. Its formation enthalpy at 0 K is -0.737 eV per atom.

---

A plane-wave DFT calculation with PBEsol was carried out for an optimized crystal structure of TlPt2.

Lattice parameters (Å, degrees): 3.005 3.005 6.070 104.33 104.33 90.00
Fractional positions:
Pt  0.331  0.331  0.662
Pt  0.669  0.669  0.338
Tl  0.000  0.000  0.000

Summary:
The value obtained for the excess energy over the best structure of this formula in the dataset is 0.1482 eV per atom. The space group is I4/mmm. Its formation enthalpy at 0 K is 0.138 eV per atom.

---

A plane-wave DFT calculation with PBEsol was carried out for an optimized crystal structure of TlPt3.

Lattice parameters (Å, degrees): 2.890 3.917 5.823 90.00 90.00 90.00
Fractional positions:
Pt  0.500  0.500  0.739
Pt  0.000  0.000  0.500
Pt  0.500  0.500  0.261
Tl  0.000  0.000  0.000

Summary:
The space group is Pmmm. Its formation enthalpy at 0 K is 0.074 eV per atom.

---

For each record above, in turn, the calculated VASP energy values are -26.8, -16.1, -23.2 eV/f.u..